Compound: Ta4Ni2N
Source: Alexandria
Functional: meta-GGA SCAN
Structure: PBEsol geometry

Geometry as POSCAR:
```
Ta4Ni2N
1.0
8.120 0.000 0.000
4.060 7.032 0.000
4.060 2.344 6.630
Ni Ta N
8 16 4
Direct
0.241 0.920 0.920
0.920 0.920 0.920
0.330 0.330 0.009
0.920 0.920 0.241
0.920 0.241 0.920
0.330 0.009 0.330
0.009 0.330 0.330
0.330 0.330 0.330
0.625 0.125 0.125
0.316 0.316 0.684
0.684 0.316 0.316
0.125 0.125 0.625
0.934 0.566 0.566
0.125 0.625 0.125
0.316 0.684 0.684
0.566 0.934 0.566
0.125 0.125 0.125
0.566 0.566 0.934
0.934 0.934 0.566
0.934 0.566 0.934
0.684 0.316 0.684
0.684 0.684 0.316
0.566 0.934 0.934
0.316 0.684 0.316
0.125 0.625 0.625
0.625 0.625 0.625
0.625 0.625 0.125
0.625 0.125 0.625
```

Summary:
DOS(E_F)   0.80 states/eV per atom
Energy relative to the elements, uncorrected   -0.6680 eV/atom
M_tot   0.00 μB/f.u.
SG   Fd-3m, No. 227
Density   15.0 g/cm³